Record 1
K2VH2OF5: optimized geometry, PBEsol.

a b c (Å): 9.6045 7.8907 7.8032
angles (deg): 90.00 96.71 90.00
With the nearest neighbours (Å) after each atom.
Space group C2/c (No. 15)
Inequivalent atoms, fractional coordinates:
K: 0.2012 0.0021 0.0360 x8  7 F 2.64-2.81
V: 0.0000 0.2992 0.2500 x4  5 F 1.91-1.96, 1 O 2.01
H: 0.0276 0.3757 0.6503 x8  1 O 1.02
O: 0.0000 0.4459 0.7500 x4  2 H 1.02
F: 0.0000 0.0534 0.2500 x4  1 V 1.94
F: 0.0752 0.2955 0.4946 x8  1 H 1.49
F: 0.1873 0.3027 0.1911 x8  1 V 1.91

Values from the calculation:
As for the magnetization: 2.000 μB/f.u.

---

Record 2
K2Zr2ZnH12O6F12: optimized geometry, PBEsol.

a b c (Å): 6.5206 9.9092 12.8713
angles (deg): 90.00 113.29 90.00
With the nearest neighbours (Å) after each atom.
Space group P2_1/c (No. 14)
Inequivalent atoms, fractional coordinates:
K: 0.1211 0.2240 0.0829 x4  5 F 2.67-2.78, 1 O 2.81
Zr: 0.3129 0.0128 0.8537 x4  7 F 1.97-2.16
Zn: 0.5000 0.0000 0.5000 x2  6 O 2.08-2.14
H: 0.0810 0.0616 0.3802 x4  1 O 1.00
H: 0.2365 0.1840 0.3742 x4  1 O 1.00
H: 0.2590 0.5762 0.1108 x4  1 O 1.00
H: 0.3091 0.6933 0.8370 x4  1 O 1.00
H: 0.3912 0.5676 0.7830 x4  1 O 0.99
H: 0.4201 0.6982 0.1116 x4  1 O 0.99
O: 0.2141 0.1168 0.4266 x4  2 H 1.00
O: 0.3130 0.6309 0.0619 x4  2 H 0.99-1.00
O: 0.4191 0.6181 0.8539 x4  2 H 0.99-1.00
F: 0.0714 0.0670 0.9009 x4  1 Zr 1.97
F: 0.1420 0.0233 0.6781 x4  2 H 1.59-1.68
F: 0.1571 0.6693 0.3097 x4  1 H 1.64
F: 0.3403 0.2124 0.8105 x4  2 H 1.62-1.73
F: 0.4186 0.0299 0.1818 x4  1 H 1.69
F: 0.4729 0.6173 0.4949 x4  2 Zr 2.13-2.16, 1 F 2.35

Values from the calculation:
As for the magnetization: 0.000 μB/f.u.

---

Record 3
K3SnHF8: optimized geometry, PBEsol.

a b c (Å): 8.8386 14.0865 6.8378
angles (deg): 90.00 94.46 90.00
With the nearest neighbours (Å) after each atom.
Space group C2/c (No. 15)
Inequivalent atoms, fractional coordinates:
K: 0.0000 0.1626 0.2500 x4  6 F 2.59-2.70, 2 H 2.86
K: 0.2215 0.4027 0.2147 x8  7 F 2.62-2.83
Sn: 0.0000 0.3246 0.7500 x4  6 F 1.98-2.00
H: 0.0000 0.0000 0.0000 x4  2 F 1.14
F: 0.0000 0.1831 0.7500 x4  1 Sn 1.99
F: 0.0000 0.4652 0.7500 x4  1 Sn 1.98
F: 0.0420 0.3219 0.4669 x8  1 Sn 2.00
F: 0.1206 0.0243 0.4764 x8  1 H 1.14
F: 0.2201 0.3228 0.8343 x8  1 Sn 1.99

Values from the calculation:
As for the magnetization: 0.225 μB/f.u.

---

Record 4
La2HF: optimized geometry, PBEsol.

a b c (Å): 5.6664 5.6664 11.1629
angles (deg): 90.00 90.00 90.00
With the nearest neighbours (Å) after each atom.
Space group I-42d (No. 122)
Inequivalent atoms, fractional coordinates:
La: 0.2397 0.2500 0.1250 x8  2 H 2.41, 2 F 2.48
H: 0.0000 0.0000 0.0000 x4  4 La 2.41
F: 0.0000 0.0000 0.5000 x4  4 La 2.48

Values from the calculation:
As for the magnetization: 1.822 μB/f.u.

---

Record 5
LaH2OF: optimized geometry, PBEsol.

a b c (Å): 3.4751 3.4751 4.9826
angles (deg): 90.00 90.00 90.00
With the nearest neighbours (Å) after each atom.
Space group P4/mmm (No. 123)
Inequivalent atoms, fractional coordinates:
La: 0.0000 0.0000 0.0000 x1  4 O 2.46, 2 F 2.49
H: 0.0000 0.5000 0.5000 x2  2 F 1.74
O: 0.5000 0.5000 0.0000 x1  4 La 2.46
F: 0.0000 0.0000 0.5000 x1  4 H 1.74

Values from the calculation:
As for the magnetization: 0.000 μB/f.u.

---

Record 6
Li2HF: optimized geometry, PBEsol.

a b c (Å): 4.3269 4.3269 8.5367
angles (deg): 90.00 90.00 90.00
With the nearest neighbours (Å) after each atom.
Space group I-42d (No. 122)
Inequivalent atoms, fractional coordinates:
Li: 0.2461 0.2500 0.1250 x8  2 F 1.86, 2 H 1.87
H: 0.0000 0.0000 0.5000 x4  4 Li 1.87
F: 0.0000 0.0000 0.0000 x4  4 Li 1.86

Values from the calculation:
As for the magnetization: 0.000 μB/f.u.

---

Q: Which total energy values were calculated for the entries above? A: -5.447, -5.509, -4.671, -5.363, -4.906, -3.925, in eV/atom.